(1)
DFT (PBE) results for crystalline VReRu at its relaxed geometry.

Properties
space-group type: C2/m (12)

a b c (Å): 2.906 4.601 6.561
angles (deg): 85.74 102.80 90.00
Atoms (fractional coordinates):
Re 0.418 0.191 0.836
V 0.249 0.753 0.497
Re 0.582 0.809 0.164
Ru 0.912 0.690 0.824
V 0.751 0.247 0.503
Ru 0.088 0.310 0.176



(2)
DFT (PBE) results for crystalline V5Re4Ru at its relaxed geometry.

Properties
space-group type: P4/mmm (123)

a b c (Å): 3.035 3.035 15.168
angles (deg): 90.00 90.00 90.00
Atoms (fractional coordinates):
V 0.500 0.500 0.300
Re 0.000 0.000 0.400
V 0.500 0.500 0.500
V 0.500 0.500 0.101
Re 0.000 0.000 0.600
Re 0.000 0.000 0.801
Re 0.000 0.000 0.199
Ru 0.000 0.000 0.000
V 0.500 0.500 0.899
V 0.500 0.500 0.700



(3)
DFT (PBE) results for crystalline VReRu at its relaxed geometry.

Properties
space-group type: I4mm (107)

a b c (Å): 3.030 3.030 5.104
angles (deg): 107.27 107.27 90.00
Atoms (fractional coordinates):
Ru 0.324 0.324 0.648
Re 0.012 0.012 0.024
V 0.664 0.664 0.328



Across the entries above, VASP energy takes the values -10.341; -10.805; -10.325 eV per atom, respectively.
Across the entries above, formation energy takes the values -61; -339; -44 meV/atom, respectively.